DFT (GGA-PBE) results for a relaxed AgGeSe crystal. Values from VASP.

Calculated values
- energy above the lowest structure with this stoichiometry (kJ/mol of formula units) = 52.3
- final energy (eV/atom) = -3.450
- raw formation energy (eV per formula unit) = 0.60

Quantum ESPRESSO input file:
```
&SYSTEM
  ibrav = 0, nat = 3, ntyp = 3
/
ATOMIC_SPECIES
Ag 107.87 Ag.upf
Ge 72.64 Ge.upf
Se 78.96 Se.upf
CELL_PARAMETERS angstrom
-1.918 1.918 4.418
1.918 -1.918 4.418
1.918 1.918 -4.418
ATOMIC_POSITIONS angstrom
Ag 0.000 0.000 0.000
Ge 0.000 0.000 6.186
Se 0.000 0.000 2.626
```